{"formula": "BeTc2Ru", "functional": "PBE", "state": "optimized geometry", "lattice_angstrom": [[-2.837, -1.988, 3.316], [1.556, -4.139, 1.857], [1.876, 4.348, -0.760]], "species": ["Ru", "Tc", "Tc", "Be"], "fractional_positions": [[0.750, 0.250, 0.500], [0.000, 0.000, 0.000], [0.250, 0.750, 0.500], [0.500, 0.500, 0.000]], "formation_energy_ev_per_atom": 0.09, "energy_ev_per_cell": -33.4, "m_tot_mub_per_atom": 0.000}